# 1
A plane-wave DFT calculation with PBE was carried out for Np2ReAu after structural relaxation.

a b c (Å): 3.177 3.177 8.265
angles (deg): 90.00 90.00 90.00
Space group P4/mmm (No. 123)
Symmetry-distinct sites (fractional):
Np: 0.000 0.000 0.222 [2 per cell]
Re: 0.500 0.500 0.000 [1 per cell]
Au: 0.500 0.500 0.500 [1 per cell]

***

# 2
A plane-wave DFT calculation with PBE was carried out for Cd5In6Ga after structural relaxation.

a b c (Å): 10.296 13.663 4.736
angles (deg): 90.00 117.16 90.00
Space group C2/m (No. 12)
Symmetry-distinct sites (fractional):
Cd: 0.000 0.000 0.000 [2 per cell]
Cd: 0.000 0.164 0.500 [4 per cell]
Cd: 0.000 0.330 0.000 [4 per cell]
In: 0.244 0.500 0.245 [4 per cell]
In: 0.245 0.335 0.745 [8 per cell]
Ga: 0.000 0.500 0.500 [2 per cell]

***

no.,formation enthalpy at 0 K (eV/f.u.),VASP energy (eV/atom)
1,0.48,-10.28
2,0.43,-1.97